No. 1
VASP calculation (GGA-PBE) on a geometry-optimized Tb6Sm3ErTm2 structure.

Cell: 6.166 6.166 11.793 Å, 94.98 94.98 119.97°
Atoms (fractional coordinates):
Tb (0.084, 0.418, 0.754)
Tb (0.249, 0.249, 0.246)
Tb (0.418, 0.084, 0.754)
Tb (0.582, 0.916, 0.246)
Tb (0.751, 0.751, 0.754)
Tb (0.916, 0.582, 0.246)
Sm (0.000, 0.000, 0.500)
Sm (0.333, 0.667, 0.500)
Sm (0.667, 0.333, 0.500)
Er (0.500, 0.500, 0.000)
Tm (0.167, 0.833, 0.000)
Tm (0.833, 0.167, 0.000)

* calculated formation energy: 0.018 eV/atom
* space-group type: C2/m, No. 12

***

No. 2
VASP calculation (GGA-PBE) on a geometry-optimized Tb3Sm2ErTm6 structure.

Cell: 6.116 6.116 11.658 Å, 95.00 95.00 119.96°
Atoms (fractional coordinates):
Tb (0.000, 0.000, 0.000)
Tb (0.333, 0.667, 0.000)
Tb (0.667, 0.333, 0.000)
Sm (0.167, 0.833, 0.500)
Sm (0.833, 0.167, 0.500)
Er (0.500, 0.500, 0.500)
Tm (0.083, 0.416, 0.249)
Tm (0.251, 0.251, 0.751)
Tm (0.416, 0.083, 0.249)
Tm (0.584, 0.917, 0.751)
Tm (0.749, 0.749, 0.249)
Tm (0.917, 0.584, 0.751)

* calculated formation energy: 0.020 eV/atom
* space-group type: C2/m, No. 12

***

No. 3
VASP calculation (GGA-PBE) on a geometry-optimized Tb5Sm2ErTm structure.

Cell: 10.002 10.002 10.002 Å, 129.52 129.52 74.18°
Atoms (fractional coordinates):
Tb (0.000, 0.000, 0.000)
Tb (0.072, 0.572, 0.927)
Tb (0.145, 0.072, 0.500)
Tb (0.355, 0.855, 0.927)
Tb (0.428, 0.355, 0.500)
Tb (0.500, 0.500, 0.000)
Tb (0.572, 0.645, 0.500)
Tb (0.645, 0.145, 0.073)
Tb (0.855, 0.928, 0.500)
Tb (0.928, 0.428, 0.073)
Sm (0.119, 0.381, 0.500)
Sm (0.381, 0.881, 0.262)
Sm (0.619, 0.119, 0.738)
Sm (0.881, 0.619, 0.500)
Er (0.250, 0.750, 0.500)
Er (0.750, 0.250, 0.500)
Tm (0.250, 0.250, 0.000)
Tm (0.750, 0.750, 0.000)

* calculated formation energy: 0.287 eV/atom
* space-group type: I4/mcm, No. 140

***

No. 4
VASP calculation (GGA-PBE) on a geometry-optimized Tb6Sm3Er2Tm structure.

Cell: 6.168 6.168 11.800 Å, 94.98 94.98 119.97°
Atoms (fractional coordinates):
Tb (0.084, 0.418, 0.754)
Tb (0.249, 0.249, 0.246)
Tb (0.418, 0.084, 0.754)
Tb (0.582, 0.916, 0.246)
Tb (0.751, 0.751, 0.754)
Tb (0.916, 0.582, 0.246)
Sm (0.000, 0.000, 0.500)
Sm (0.333, 0.667, 0.500)
Sm (0.667, 0.333, 0.500)
Er (0.167, 0.833, 0.000)
Er (0.833, 0.167, 0.000)
Tm (0.500, 0.500, 0.000)

* calculated formation energy: 0.017 eV/atom
* space-group type: C2/m, No. 12